# TmPdS2 | the Alexandria database | PBE | relaxed
# Fermi-level density of states in states/eV per atom: 0.92
# Spin magnetization in μB/atom: 0.001
# Polymorph energy (0 for the lowest one) in eV/atom: 0.000
# ΔE_f (raw) in meV/atom: -1054
data_TmPdS2
_chemical_formula_sum 'Tm1 Pd1 S2'
_cell_length_a 3.804
_cell_length_b 3.804
_cell_length_c 6.506
_cell_angle_alpha 73.00
_cell_angle_beta 73.00
_cell_angle_gamma 60.00
_symmetry_space_group_name_H-M 'P 1'
_symmetry_Int_Tables_number 1
_symmetry_space_group_name_Hall 'P 1'
loop_
_atom_site_label
_atom_site_type_symbol
_atom_site_fract_x
_atom_site_fract_y
_atom_site_fract_z
Tm1 Tm 0.498 0.498 0.506
Pd1 Pd 0.671 0.671 0.987
S1 S 0.079 0.079 0.763
S2 S 0.252 0.252 0.243

=====

# Sr2Mg2Al | the Alexandria database | PBE | relaxed
# Fermi-level density of states in states/eV per atom: 0.60
# Spin magnetization in μB/atom: 0.000
# Energy of formation from the pure elements in eV per atom: 0.014
data_Sr2Mg2Al
_chemical_formula_sum 'Sr4 Mg4 Al2'
_cell_length_a 7.623
_cell_length_b 7.623
_cell_length_c 5.555
_cell_angle_alpha 90.00
_cell_angle_beta 90.00
_cell_angle_gamma 90.00
_symmetry_space_group_name_H-M 'P 1'
_symmetry_Int_Tables_number 1
_symmetry_space_group_name_Hall 'P 1'
loop_
_atom_site_label
_atom_site_type_symbol
_atom_site_fract_x
_atom_site_fract_y
_atom_site_fract_z
Sr1 Sr 0.184 0.684 0.500
Sr2 Sr 0.684 0.816 0.500
Sr3 Sr 0.816 0.316 0.500
Sr4 Sr 0.316 0.184 0.500
Mg1 Mg 0.364 0.864 0.000
Mg2 Mg 0.864 0.636 0.000
Mg3 Mg 0.636 0.136 0.000
Mg4 Mg 0.136 0.364 0.000
Al1 Al 0.000 0.000 0.000
Al2 Al 0.500 0.500 0.000

=====

# HfSi3Pt | the Alexandria database | PBE | relaxed
# Fermi-level density of states in states/eV per atom: 1.39
# Spin magnetization in μB/atom: 0.000
# ΔE_f (raw) in meV/atom: 629
data_HfSi3Pt
_chemical_formula_sum 'Hf1 Si3 Pt1'
_cell_length_a 4.689
_cell_length_b 4.689
_cell_length_c 4.689
_cell_angle_alpha 90.00
_cell_angle_beta 90.00
_cell_angle_gamma 90.00
_symmetry_space_group_name_H-M 'P 1'
_symmetry_Int_Tables_number 1
_symmetry_space_group_name_Hall 'P 1'
loop_
_atom_site_label
_atom_site_type_symbol
_atom_site_fract_x
_atom_site_fract_y
_atom_site_fract_z
Si1 Si 0.000 0.500 0.000
Si2 Si 0.000 0.000 0.500
Si3 Si 0.500 0.000 0.000
Hf1 Hf 0.500 0.500 0.500
Pt1 Pt 0.000 0.000 0.000

=====

# TlIr2Cl | the Alexandria database | PBE | relaxed
# Fermi-level density of states in states/eV per atom: 0.01
# Spin magnetization in μB/atom: 0.000
# Polymorph energy (0 for the lowest one) in eV/atom: 0.437
# ΔE_f (raw) in meV/atom: 743
data_TlIr2Cl
_chemical_formula_sum 'Tl2 Ir4 Cl2'
_cell_length_a 4.880
_cell_length_b 4.880
_cell_length_c 8.304
_cell_angle_alpha 72.91
_cell_angle_beta 72.91
_cell_angle_gamma 90.00
_symmetry_space_group_name_H-M 'P 1'
_symmetry_Int_Tables_number 1
_symmetry_space_group_name_Hall 'P 1'
loop_
_atom_site_label
_atom_site_type_symbol
_atom_site_fract_x
_atom_site_fract_y
_atom_site_fract_z
Tl1 Tl 0.000 0.000 0.000
Tl2 Tl 0.750 0.250 0.500
Ir1 Ir 0.465 0.125 0.250
Ir2 Ir 0.285 0.625 0.250
Ir3 Ir 0.375 0.535 0.750
Ir4 Ir 0.875 0.715 0.750
Cl1 Cl 0.500 0.500 0.000
Cl2 Cl 0.250 0.750 0.500

=====

# Ca2Pr2Nd15 | the Alexandria database | PBE | relaxed
# Fermi-level density of states in states/eV per atom: 1.57
# Spin magnetization in μB/atom: 0.000
# Energy of formation from the pure elements in eV per atom: 0.230
data_Ca2Pr2Nd15
_chemical_formula_sum 'Ca2 Pr2 Nd15'
_cell_length_a 9.026
_cell_length_b 9.026
_cell_length_c 9.026
_cell_angle_alpha 81.30
_cell_angle_beta 81.30
_cell_angle_gamma 81.30
_symmetry_space_group_name_H-M 'P 1'
_symmetry_Int_Tables_number 1
_symmetry_space_group_name_Hall 'P 1'
loop_
_atom_site_label
_atom_site_type_symbol
_atom_site_fract_x
_atom_site_fract_y
_atom_site_fract_z
Ca1 Ca 0.668 0.668 0.668
Ca2 Ca 0.332 0.332 0.332
Pr1 Pr 0.908 0.908 0.908
Pr2 Pr 0.092 0.092 0.092
Nd1 Nd 0.000 0.500 0.000
Nd2 Nd 0.000 0.000 0.500
Nd3 Nd 0.500 0.000 0.000
Nd4 Nd 0.298 0.000 0.702
Nd5 Nd 0.702 0.298 0.000
Nd6 Nd 0.000 0.702 0.298
Nd7 Nd 0.298 0.702 0.000
Nd8 Nd 0.000 0.298 0.702
Nd9 Nd 0.702 0.000 0.298
Nd10 Nd 0.364 0.851 0.364
Nd11 Nd 0.364 0.364 0.851
Nd12 Nd 0.851 0.364 0.364
Nd13 Nd 0.636 0.149 0.636
Nd14 Nd 0.636 0.636 0.149
Nd15 Nd 0.149 0.636 0.636

=====

# LiTlP2PbO | the Alexandria database | PBE | relaxed
# Fermi-level density of states in states/eV per atom: 0.15
# Spin magnetization in μB/atom: 0.000
# Polymorph energy (0 for the lowest one) in eV/atom: 0.042
# ΔE_f (raw) in meV/atom: -665
data_LiTlP2PbO
_chemical_formula_sum 'Li1 Tl1 P2 Pb1 O1'
_cell_length_a 3.312
_cell_length_b 5.971
_cell_length_c 7.564
_cell_angle_alpha 112.98
_cell_angle_beta 102.36
_cell_angle_gamma 89.99
_symmetry_space_group_name_H-M 'P 1'
_symmetry_Int_Tables_number 1
_symmetry_space_group_name_Hall 'P 1'
loop_
_atom_site_label
_atom_site_type_symbol
_atom_site_fract_x
_atom_site_fract_y
_atom_site_fract_z
Li1 Li 0.330 0.174 0.859
Tl1 Tl 0.129 0.660 0.470
P1 P 0.926 0.619 0.056
P2 P 0.401 0.837 0.004
Pb1 Pb 0.604 0.141 0.417
O1 O 0.843 0.349 0.887

=====

# TaBe2In | the Alexandria database | PBE | relaxed
# Fermi-level density of states in states/eV per atom: 0.15
# Spin magnetization in μB/atom: 0.000
# Energy of formation from the pure elements in eV per atom: 0.652
data_TaBe2In
_chemical_formula_sum 'Ta2 Be4 In2'
_cell_length_a 6.661
_cell_length_b 6.661
_cell_length_c 5.474
_cell_angle_alpha 52.52
_cell_angle_beta 52.52
_cell_angle_gamma 90.00
_symmetry_space_group_name_H-M 'P 1'
_symmetry_Int_Tables_number 1
_symmetry_space_group_name_Hall 'P 1'
loop_
_atom_site_label
_atom_site_type_symbol
_atom_site_fract_x
_atom_site_fract_y
_atom_site_fract_z
Be1 Be 0.618 0.125 0.250
Be2 Be 0.132 0.625 0.250
Be3 Be 0.375 0.382 0.750
Be4 Be 0.875 0.868 0.750
In1 In 0.500 0.500 0.000
In2 In 0.250 0.750 0.500
Ta1 Ta 0.000 0.000 0.000
Ta2 Ta 0.750 0.250 0.500

=====

# ZnCd2Se | the Alexandria database | PBE | relaxed
# Fermi-level density of states in states/eV per atom: 0.29
# Spin magnetization in μB/atom: 0.000
# Polymorph energy (0 for the lowest one) in eV/atom: 0.125
# ΔE_f (raw) in meV/atom: -12
data_ZnCd2Se
_chemical_formula_sum 'Zn1 Cd2 Se1'
_cell_length_a 6.687
_cell_length_b 6.687
_cell_length_c 6.687
_cell_angle_alpha 145.70
_cell_angle_beta 145.70
_cell_angle_gamma 49.29
_symmetry_space_group_name_H-M 'P 1'
_symmetry_Int_Tables_number 1
_symmetry_space_group_name_Hall 'P 1'
loop_
_atom_site_label
_atom_site_type_symbol
_atom_site_fract_x
_atom_site_fract_y
_atom_site_fract_z
Cd1 Cd 0.000 0.000 0.000
Cd2 Cd 0.250 0.750 0.500
Se1 Se 0.500 0.500 0.000
Zn1 Zn 0.750 0.250 0.500

=====

# Tb8CoIr2 | the Alexandria database | PBE | relaxed
# Fermi-level density of states in states/eV per atom: 1.00
# Spin magnetization in μB/atom: 0.000
# Energy of formation from the pure elements in eV per atom: -0.316
data_Tb8CoIr2
_chemical_formula_sum 'Tb8 Co1 Ir2'
_cell_length_a 6.077
_cell_length_b 7.467
_cell_length_c 7.467
_cell_angle_alpha 111.90
_cell_angle_beta 101.16
_cell_angle_gamma 101.16
_symmetry_space_group_name_H-M 'P 1'
_symmetry_Int_Tables_number 1
_symmetry_space_group_name_Hall 'P 1'
loop_
_atom_site_label
_atom_site_type_symbol
_atom_site_fract_x
_atom_site_fract_y
_atom_site_fract_z
Tb1 Tb 0.588 0.347 0.085
Tb2 Tb 0.588 0.085 0.347
Tb3 Tb 0.176 0.356 0.356
Tb4 Tb 0.991 0.201 0.796
Tb5 Tb 0.991 0.796 0.201
Tb6 Tb 0.797 0.646 0.646
Tb7 Tb 0.370 0.926 0.666
Tb8 Tb 0.370 0.666 0.926
Co1 Co 0.166 0.997 0.997
Ir1 Ir 0.482 0.694 0.321
Ir2 Ir 0.482 0.321 0.694

=====

# ReHgTe2 | the Alexandria database | PBE | relaxed
# Fermi-level density of states in states/eV per atom: 0.49
# Spin magnetization in μB/atom: 0.000
# Polymorph energy (0 for the lowest one) in eV/atom: 0.550
# ΔE_f (raw) in meV/atom: 772
data_ReHgTe2
_chemical_formula_sum 'Re1 Hg1 Te2'
_cell_length_a 4.964
_cell_length_b 4.964
_cell_length_c 4.964
_cell_angle_alpha 60.00
_cell_angle_beta 60.00
_cell_angle_gamma 60.00
_symmetry_space_group_name_H-M 'P 1'
_symmetry_Int_Tables_number 1
_symmetry_space_group_name_Hall 'P 1'
loop_
_atom_site_label
_atom_site_type_symbol
_atom_site_fract_x
_atom_site_fract_y
_atom_site_fract_z
Re1 Re 0.000 0.000 0.000
Te1 Te 0.250 0.250 0.250
Te2 Te 0.750 0.750 0.750
Hg1 Hg 0.500 0.500 0.500

=====

# HoWN2 | the Alexandria database | PBE | relaxed
# Fermi-level density of states in states/eV per atom: 0.32
# Spin magnetization in μB/atom: 0.000
# Polymorph energy (0 for the lowest one) in eV/atom: 0.230
# ΔE_f (raw) in meV/atom: -892
data_HoWN2
_chemical_formula_sum 'Ho1 W1 N2'
_cell_length_a 3.222
_cell_length_b 3.222
_cell_length_c 5.584
_cell_angle_alpha 73.23
_cell_angle_beta 73.23
_cell_angle_gamma 60.00
_symmetry_space_group_name_H-M 'P 1'
_symmetry_Int_Tables_number 1
_symmetry_space_group_name_Hall 'P 1'
loop_
_atom_site_label
_atom_site_type_symbol
_atom_site_fract_x
_atom_site_fract_y
_atom_site_fract_z
Ho1 Ho 0.500 0.500 0.500
W1 W 0.000 0.000 0.000
N1 N 0.258 0.258 0.226
N2 N 0.742 0.742 0.774

=====

# CaAcNdTm | the Alexandria database | PBE | relaxed
# Fermi-level density of states in states/eV per atom: 1.48
# Spin magnetization in μB/atom: 0.000
# Energy of formation from the pure elements in eV per atom: 0.103
data_CaAcNdTm
_chemical_formula_sum 'Ca1 Ac1 Nd1 Tm1'
_cell_length_a 5.957
_cell_length_b 5.957
_cell_length_c 5.957
_cell_angle_alpha 60.00
_cell_angle_beta 60.00
_cell_angle_gamma 60.00
_symmetry_space_group_name_H-M 'P 1'
_symmetry_Int_Tables_number 1
_symmetry_space_group_name_Hall 'P 1'
loop_
_atom_site_label
_atom_site_type_symbol
_atom_site_fract_x
_atom_site_fract_y
_atom_site_fract_z
Ac1 Ac 0.500 0.500 0.500
Tm1 Tm 0.750 0.750 0.750
Nd1 Nd 0.000 0.000 0.000
Ca1 Ca 0.250 0.250 0.250